VASP calculation (PBE-GGA) on Ba2SbPdN after structural relaxation.

a = 6.0697 Å, b = 6.0697 Å, c = 3.8711 Å
α = 90.00°, β = 90.00°, γ = 90.00°
Fractional coordinates of all 5 atoms:
Ba 0.0000 0.5000 0.0000
Ba 0.5000 0.0000 0.0000
Sb 0.0000 0.0000 0.5000
Pd 0.5000 0.5000 0.5000
N 0.5000 0.5000 0.0000

Output
Fermi-level density of states in states/eV per atom: 0.51
VASP energy in eV per atom: -4.880
Formation energy without anion corrections in eV/atom: -0.583
Crystal system: tetragonal
Symmetry: No. 123